A geometry-optimized Al3Ag2 structure, computed with PBE.

Summary:
- ΔH_f (0 K) (eV per formula unit) = 0.0
- raw total energy (eV/atom) = -3.385
- energy above the most stable polymorph in this dataset (meV per atom) = 32
- mass density (Mg/m³) = 5.8
- symmetry = P-3m1, No. 164
- total magnetization (μB per formula unit) = 0.000

Lattice parameters (Å, degrees): 2.936 2.936 11.400 90.00 90.00 120.00
Sites, in units of the cell vectors:
Al (0.000, 0.000, 0.000)
Al (0.333, 0.667, 0.401)
Al (0.667, 0.333, 0.599)
Ag (0.333, 0.667, 0.800)
Ag (0.667, 0.333, 0.200)